A plane-wave DFT calculation with PBE+U was carried out for a geometry-optimized Cu3MoI2F6 structure.

Summary:
Total DFT energy (no corrections), eV per atom: -4.22
D(E_F), states/eV per atom: 0.818

Structure (CIF):
```
data_Cu3MoI2F6
_chemical_formula_sum 'Cu6 Mo2 I4 F12'
_symmetry_space_group_name_H-M 'C 1 2/m 1'
_symmetry_Int_Tables_number 12
_cell_length_a 14.034
_cell_length_b 6.290
_cell_length_c 5.270
_cell_angle_alpha 90.00
_cell_angle_beta 95.52
_cell_angle_gamma 90.00
loop_
_symmetry_equiv_pos_as_xyz
'x,y,z'
'-x,-y,-z'
'-x,y,-z'
'x,-y,z'
'x+1/2,y+1/2,z'
'-x+1/2,-y+1/2,-z'
'-x+1/2,y+1/2,-z'
'x+1/2,-y+1/2,z'
loop_
_atom_site_label
_atom_site_type_symbol
_atom_site_fract_x
_atom_site_fract_y
_atom_site_fract_z
Cu1 Cu 0.000 0.000 0.000
Cu2 Cu 0.250 0.250 0.500
Mo1 Mo 0.000 0.500 0.500
I1 I 0.185 0.000 0.151
F1 F 0.039 0.273 0.750
F2 F 0.139 0.500 0.395
```